[1]
This record from Alexandria via LeMat-Bulk describes a relaxed GaSn2Pb8 crystal. The functional is PBE.

Unit cell a=8.4187 b=8.4187 c=5.8923 alpha=102.84 beta=102.84 gamma=60.70
Closest atoms and distances in Å follow each position.
Sites, in units of the cell vectors:
Ga (0.0000, 0.0000, 0.0000)  2 Sn 2.88, 6 Pb 3.07-3.21
Sn (0.1141, 0.1141, 0.4781)  1 Ga 2.88
Sn (0.8859, 0.8859, 0.5219)  1 Ga 2.88
Pb (0.2235, 0.6375, 0.2114)  1 Ga 3.07, 1 Sn 3.25, 1 Pb 3.38
Pb (0.2250, 0.2250, 0.0507)  1 Ga 3.21, 2 Sn 3.32-3.34, 6 Pb 3.38-3.53
Pb (0.3575, 0.3575, 0.6450)  1 Sn 3.42, 8 Pb 3.43-3.68
Pb (0.3625, 0.7765, 0.7886)  1 Ga 3.07, 1 Sn 3.25, 1 Pb 3.38
Pb (0.6375, 0.2235, 0.2114)  1 Ga 3.07, 1 Sn 3.25, 1 Pb 3.38
Pb (0.6425, 0.6425, 0.3550)  1 Sn 3.42, 8 Pb 3.43-3.68
Pb (0.7750, 0.7750, 0.9493)  1 Ga 3.21, 2 Sn 3.32-3.34, 6 Pb 3.38-3.53
Pb (0.7765, 0.3625, 0.7886)  1 Ga 3.07, 1 Sn 3.25, 1 Pb 3.38

Results
Its size of the total moment is 0.00 μB per formula unit. As for the calculated volume: 32.0 A^3/atom.

***

[2]
This record from Alexandria via LeMat-Bulk describes a relaxed GaSn2Pb8 crystal. The functional is PBE.

Unit cell a=8.1344 b=8.1344 c=5.3587 alpha=90.06 beta=90.06 gamma=104.25
Closest atoms and distances in Å follow each position.
Sites, in units of the cell vectors:
Ga (0.0000, 0.0000, 0.0000)  4 Pb 3.08-3.26
Sn (0.3806, 0.6194, 0.5000)  1 Sn 3.07, 4 Pb 3.23-3.30
Sn (0.6194, 0.3806, 0.5000)  1 Sn 3.07, 4 Pb 3.23-3.30
Pb (0.0382, 0.3007, 0.5011)  2 Sn 3.30-3.62, 7 Pb 3.37-3.53, 2 Ga 3.59
Pb (0.2398, 0.7602, 0.0000)  1 Ga 3.08, 2 Sn 3.23
Pb (0.3007, 0.0382, 0.5011)  2 Sn 3.30-3.62, 7 Pb 3.37-3.53, 2 Ga 3.59
Pb (0.3261, 0.3261, 0.0013)  1 Ga 3.26, 5 Pb 3.47-3.53, 4 Sn 3.53-3.55
Pb (0.6739, 0.6739, 0.9987)  1 Ga 3.26, 5 Pb 3.47-3.53, 4 Sn 3.53-3.55
Pb (0.6993, 0.9618, 0.4989)  2 Sn 3.30-3.62, 7 Pb 3.37-3.53, 2 Ga 3.59
Pb (0.7602, 0.2398, 0.0000)  1 Ga 3.08, 2 Sn 3.23
Pb (0.9618, 0.6993, 0.4989)  2 Sn 3.30-3.62, 7 Pb 3.37-3.53, 2 Ga 3.59

Results
Its size of the total moment is 0.00 μB per formula unit. As for the calculated volume: 31.2 A^3/atom.

***

| no. | density of states at the Fermi level (states/eV per atom) | relative energy among the computed polymorphs (eV per atom) | energy relative to the elements (meV per atom) |
| --- | --- | --- | --- |
| 1 | 0.517 | 0.016 | 108 |
| 2 | 0.567 | 0.000 | 92 |